An optimized crystal structure of CaRh3Pb3. Source: Alexandria, functional PBE.

```
data_CaRh3Pb3
_chemical_formula_sum 'Ca6 Rh18 Pb18'
_space_group_name_H-M_alt 'R -3'
_space_group_IT_number 148
_space_group_name_Hall '-R 3'
_cell_length_a 8.3727
_cell_length_b 8.3727
_cell_length_c 16.2170
_cell_angle_alpha 90.00
_cell_angle_beta 90.00
_cell_angle_gamma 120.00
loop_
_atom_site_label
_atom_site_type_symbol
_atom_site_fract_x
_atom_site_fract_y
_atom_site_fract_z
_atom_site_occupancy
Ca1 Ca 0.0000 0.0000 0.1691 1
Rh1 Rh 0.0033 0.6456 0.4361 1
Pb1 Pb 0.0083 0.7089 0.6016 1
```

**Energy relative to the elements**: -0.1040 eV/atom
**E**: -5.1299 eV per atom
**Energy above the most stable polymorph in this dataset**: 0 kJ/mol of formula units
**Volume**: 164.1 Å³/f.u.

---

An optimized crystal structure of Li2LaW. Source: Alexandria, functional PBE.

```
data_Li2LaW
_chemical_formula_sum 'Li2 La1 W1'
_space_group_name_H-M_alt 'P 4/m m m'
_space_group_IT_number 123
_space_group_name_Hall '-P 4 2'
_cell_length_a 5.0585
_cell_length_b 5.0585
_cell_length_c 2.8981
_cell_angle_alpha 90.00
_cell_angle_beta 90.00
_cell_angle_gamma 90.00
loop_
_atom_site_label
_atom_site_type_symbol
_atom_site_fract_x
_atom_site_fract_y
_atom_site_fract_z
_atom_site_occupancy
Li1 Li 0.0000 0.5000 0.0000 1
La1 La 0.0000 0.0000 0.5000 1
W1 W 0.5000 0.5000 0.5000 1
```

**Energy relative to the elements**: 0.8187 eV/atom
**E**: -4.6083 eV per atom
**Energy above the most stable polymorph in this dataset**: 122 kJ/mol of formula units
**Volume**: 74.2 Å³/f.u.